Entry 1:
Entry from the Alexandria database: a relaxed structure of Li2OsN (PBE-GGA).

Cell: 7.307 7.307 3.792 Å, 90.00 90.00 90.00°
Space group I-42d (No. 122)
Asymmetric unit:
Li1 0.137 0.250 0.125 [8 per cell]
Os1 0.000 0.000 0.500 [4 per cell]
N1 0.000 0.000 0.000 [4 per cell]

Computed properties:
Its uncorrected energy is -5.76 eV per atom.

---

Entry 2:
Entry from the Alexandria database: a relaxed structure of Pa3Bi5Se12 (PBE-GGA).

Cell: 17.175 17.175 17.175 Å, 90.00 90.00 90.00°
Space group Ia-3d (No. 230)
Asymmetric unit:
Pa1 0.000 0.250 0.125 [24 per cell]
Bi1 0.000 0.000 0.000 [16 per cell]
Bi2 0.000 0.250 0.375 [24 per cell]
Se1 0.012 0.072 0.655 [96 per cell]

Computed properties:
Its uncorrected energy is -4.99 eV per atom.

---

Entry 3:
Entry from the Alexandria database: a relaxed structure of LiTlS (PBE-GGA).

Cell: 12.582 4.065 7.051 Å, 90.00 118.74 90.00°
Space group C2/m (No. 12)
Asymmetric unit:
Li1 0.194 0.000 0.356 [4 per cell]
Tl1 0.089 0.500 0.796 [4 per cell]
S1 0.240 0.000 0.731 [4 per cell]

Computed properties:
Its uncorrected energy is -3.54 eV per atom. The relative energy among the computed polymorphs is 0.21 eV per formula unit.

---

Entry 4:
Entry from the Alexandria database: a relaxed structure of CaPbI6 (PBE-GGA).

Cell: 21.799 22.165 12.997 Å, 90.00 90.00 90.00°
Space group Fdd2 (No. 43)
Asymmetric unit:
Ca1 0.113 0.132 0.000 [16 per cell]
Pb1 0.061 0.088 0.669 [16 per cell]
I1 0.007 0.342 0.342 [16 per cell]
I2 0.013 0.092 0.151 [16 per cell]
I3 0.053 0.146 0.345 [16 per cell]
I4 0.069 0.441 0.066 [16 per cell]
I5 0.087 0.205 0.540 [16 per cell]
I6 0.118 0.010 0.862 [16 per cell]

Computed properties:
Its uncorrected energy is -2.65 eV per atom.

---

Entry 5:
Entry from the Alexandria database: a relaxed structure of CoAsPb2 (PBE-GGA).

Cell: 4.404 4.404 9.459 Å, 90.00 90.00 90.00°
Space group I-4m2 (No. 119)
Asymmetric unit:
Co1 0.000 0.000 0.000 [2 per cell]
As1 0.000 0.500 0.250 [2 per cell]
Pb1 0.000 0.000 0.500 [2 per cell]
Pb2 0.000 0.500 0.750 [2 per cell]

Computed properties:
Its uncorrected energy is -4.24 eV per atom. As for the energy of formation: 0.5562 eV per atom.

---

Entry 6:
Entry from the Alexandria database: a relaxed structure of LiGaNiTe2 (PBE-GGA).

Cell: 5.448 5.448 4.503 Å, 90.00 90.00 90.00°
Space group P4/mmm (No. 123)
Asymmetric unit:
Li1 0.000 0.000 0.000 [1 per cell]
Ga1 0.500 0.500 0.500 [1 per cell]
Ni1 0.500 0.500 0.000 [1 per cell]
Te1 0.000 0.500 0.500 [2 per cell]

Computed properties:
Its uncorrected energy is -3.16 eV per atom.

---

Entry 7:
Entry from the Alexandria database: a relaxed structure of Tb3Sm4Se8 (PBE-GGA).

Cell: 11.660 11.662 8.241 Å, 90.00 134.95 90.00°
Space group C2/m (No. 12)
Asymmetric unit:
Tb1 0.000 0.000 0.000 [2 per cell]
Tb2 0.250 0.250 0.500 [4 per cell]
Sm1 0.000 0.000 0.500 [2 per cell]
Sm2 0.000 0.500 0.000 [2 per cell]
Sm3 0.250 0.250 0.000 [4 per cell]
Se1 0.000 0.248 0.000 [4 per cell]
Se2 0.000 0.255 0.500 [4 per cell]
Se3 0.247 0.500 0.504 [4 per cell]
Se4 0.247 0.500 0.990 [4 per cell]

Computed properties:
Its uncorrected energy is -5.90 eV per atom.

---

Entry 8:
Entry from the Alexandria database: a relaxed structure of Al3Cu2Si (PBE-GGA).

Cell: 5.5421 5.5421 7.2282 Å, 90.00 90.00 120.00°
Space group P6_3/mmc (No. 194)
Asymmetric unit:
Al1 0.1778 0.3557 0.2500 [6 per cell]
Cu1 0.3333 0.6667 0.5755 [4 per cell]
Si1 0.0000 0.0000 0.0000 [2 per cell]

Computed properties:
Its uncorrected energy is -3.88 eV per atom. The relative energy among the computed polymorphs is 1.43 eV per formula unit.

---

Entry 9:
Entry from the Alexandria database: a relaxed structure of CaLaPmAl (PBE-GGA).

Cell: 7.853 7.853 7.853 Å, 90.00 90.00 90.00°
Space group F-43m (No. 216)
Asymmetric unit:
Ca1 0.000 0.000 0.000 [4 per cell]
La1 0.250 0.250 0.250 [4 per cell]
Pm1 0.250 0.250 0.750 [4 per cell]
Al1 0.000 0.000 0.500 [4 per cell]

Computed properties:
Its uncorrected energy is -3.94 eV per atom. As for the energy of formation: -0.0891 eV per atom.

---

Entry 10:
Entry from the Alexandria database: a relaxed structure of Li5Sb4Au (PBE-GGA).

Cell: 3.518 3.518 16.180 Å, 90.00 90.00 90.00°
Space group P4/mmm (No. 123)
Asymmetric unit:
Li1 0.000 0.000 0.000 [1 per cell]
Li2 0.000 0.000 0.213 [2 per cell]
Li3 0.000 0.000 0.415 [2 per cell]
Sb1 0.500 0.500 0.106 [2 per cell]
Sb2 0.500 0.500 0.320 [2 per cell]
Au1 0.500 0.500 0.500 [1 per cell]

Computed properties:
Its uncorrected energy is -3.32 eV per atom.

---

Entry 11:
Entry from the Alexandria database: a relaxed structure of HfNiIN2 (PBE-GGA).

Cell: 3.998 3.998 4.715 Å, 90.00 90.00 90.00°
Space group P4/mmm (No. 123)
Asymmetric unit:
Hf1 0.000 0.000 0.000 [1 per cell]
Ni1 0.500 0.500 0.500 [1 per cell]
I1 0.500 0.500 0.000 [1 per cell]
N1 0.000 0.500 0.500 [2 per cell]

Computed properties:
Its uncorrected energy is -5.50 eV per atom. The relative energy among the computed polymorphs is 3.42 eV per formula unit.

---

Entry 12:
Entry from the Alexandria database: a relaxed structure of LaTm3In2 (PBE-GGA).

Cell: 5.201 9.905 6.706 Å, 90.00 90.00 90.00°
Space group Pmc2_1 (No. 26)
Asymmetric unit:
La1 0.000 0.038 0.000 [2 per cell]
Tm1 0.000 0.323 0.634 [2 per cell]
Tm2 0.500 0.193 0.276 [2 per cell]
Tm3 0.500 0.459 0.918 [2 per cell]
In1 0.000 0.363 0.166 [2 per cell]
In2 0.500 0.148 0.740 [2 per cell]

Computed properties:
Its uncorrected energy is -4.31 eV per atom. The relative energy among the computed polymorphs is 0.00 eV per formula unit. As for the energy of formation: -0.3394 eV per atom.